Below is CaYAl after structural relaxation, with properties calculated at the PBE level.

Calculated values
Total energy (eV per atom): -4.251

```
CaYAl
1.0
6.921 0.002 0.013
-0.001 5.190 -0.001
-1.944 0.000 4.797
Y Al Ca
2 2 2
direct
0.250 0.998 0.544 Y
0.786 0.998 0.812 Y
0.518 0.497 0.678 Al
0.518 0.998 0.178 Al
0.226 0.498 0.032 Ca
0.810 0.498 0.324 Ca
```